(1)
Density functional theory data (PBE-GGA) for a relaxed structure of Pm3PrSm5.

Cell lengths 9.4965, 9.4965, 12.5716 Å; angles 53.90, 53.90, 50.43 degrees
Positions (direct):
1 Sm 0.7728 0.3591 0.2164
2 Sm 0.2272 0.6409 0.7836
3 Sm 0.3591 0.7728 0.2164
4 Sm 0.6727 0.3273 0.0000
5 Sm 0.3782 0.3782 0.5595
6 Sm 0.3273 0.6727 0.0000
7 Sm 0.2638 0.2638 0.1237
8 Sm 0.6409 0.2272 0.7836
9 Sm 0.7362 0.7362 0.8763
10 Sm 0.6218 0.6218 0.4405
11 Pm 0.3205 0.3205 0.3398
12 Pm 0.0000 0.0000 0.0000
13 Pm 0.7927 0.7927 0.0844
14 Pm 0.6795 0.6795 0.6602
15 Pm 0.0000 0.0000 0.5000
16 Pm 0.2073 0.2073 0.9156
17 Pr 0.8827 0.8827 0.3241
18 Pr 0.1173 0.1173 0.6759

Results
The total magnetization is 0.00 μB/atom. For the polymorph energy (0 for the lowest one), the calculation gives 0.096 eV per atom. For the density of states at the Fermi level, the calculation gives 1.6033 states/eV per atom. As for the space group: C2/m, No. 12. Its formation energy is 0.3772 eV/atom.

=====

(2)
Density functional theory data (PBE-GGA) for a relaxed structure of KTeP.

Cell lengths 3.2622, 3.2622, 9.3929 Å; angles 90.00, 90.00, 120.00 degrees
Positions (direct):
1 K 0.0000 0.0000 0.0130
2 Te 0.3333 0.6667 0.6948
3 P 0.6667 0.3333 0.2922

Results
The total magnetization is 0.17 μB/atom. For the polymorph energy (0 for the lowest one), the calculation gives 0.998 eV per atom. For the density of states at the Fermi level, the calculation gives 1.1073 states/eV per atom. The value obtained for the uncorrected formation energy is 0.543 eV/atom. As for the space group: P3m1, No. 156.

=====

(3)
Density functional theory data (PBE-GGA) for a relaxed structure of Hf12HIr6.

Cell lengths 7.5372, 7.5372, 7.5372 Å; angles 100.23, 100.23, 100.23 degrees
Positions (direct):
1 Hf 0.0637 0.9615 0.3056
2 Hf 0.6944 0.9363 0.0385
3 Hf 0.9363 0.0385 0.6944
4 Hf 0.5822 0.1742 0.4269
5 Hf 0.5731 0.4178 0.8258
6 Hf 0.3056 0.0637 0.9615
7 Hf 0.4269 0.5822 0.1742
8 Hf 0.0385 0.6944 0.9363
9 Hf 0.9615 0.3056 0.0637
10 Hf 0.4178 0.8258 0.5731
11 Hf 0.1742 0.4269 0.5822
12 Hf 0.8258 0.5731 0.4178
13 Ir 0.1327 0.6192 0.2976
14 Ir 0.8673 0.3808 0.7024
15 Ir 0.6192 0.2976 0.1327
16 Ir 0.3808 0.7024 0.8673
17 Ir 0.7024 0.8673 0.3808
18 Ir 0.2976 0.1327 0.6192
19 H 0.0000 0.0000 0.0000

Results
The total magnetization is 0.00 μB/atom. For the density of states at the Fermi level, the calculation gives 0.8896 states/eV per atom. The value obtained for the final energy is -9.680 eV/atom. As for the space group: R-3, No. 148.